(1)
Crystalline Tm4Mg at its relaxed geometry, computed with PBE.

Unit cell a=3.529 b=3.526 c=14.257 alpha=75.69 beta=90.00 gamma=120.02
Fractional positions:
Tm1 0.735 0.470 0.398
Tm2 0.537 0.075 0.193
Tm3 0.463 0.925 0.807
Tm4 0.265 0.530 0.602
Mg1 0.000 0.000 0.000

Output
- final energy (eV/atom) = -3.88
- crystal system = trigonal
- density (g/cm³) = 7.90
- magnetic moment (μB per atom) = 0.27

(2)
Crystalline UGe2Pt4 at its relaxed geometry, computed with PBE.

Unit cell a=4.052 b=7.569 c=16.416 alpha=90.00 beta=90.00 gamma=90.00
Fractional positions:
Pt1 0.250 0.173 0.710
Pt2 0.750 0.827 0.290
Pt3 0.250 0.327 0.210
Pt4 0.750 0.582 0.954
Pt5 0.250 0.632 0.672
Pt6 0.250 0.868 0.172
Pt7 0.750 0.673 0.790
Pt8 0.250 0.418 0.046
Pt9 0.750 0.928 0.054
Pt10 0.750 0.918 0.454
Pt11 0.250 0.428 0.446
Pt12 0.250 0.082 0.546
Pt13 0.750 0.572 0.554
Pt14 0.250 0.072 0.946
Pt15 0.750 0.132 0.828
Pt16 0.750 0.368 0.328
U1 0.750 0.920 0.651
U2 0.250 0.420 0.849
U3 0.250 0.080 0.349
U4 0.750 0.580 0.151
Ge1 0.250 0.755 0.007
Ge2 0.750 0.384 0.684
Ge3 0.250 0.884 0.816
Ge4 0.750 0.116 0.184
Ge5 0.250 0.616 0.316
Ge6 0.750 0.255 0.493
Ge7 0.250 0.745 0.507
Ge8 0.750 0.245 0.993

Output
- final energy (eV/atom) = -6.90
- crystal system = orthorhombic
- density (g/cm³) = 15.35
- magnetic moment (μB per atom) = 0.24